Record 1
# GGA-PBE MgZr3Cl, relaxed
data_MgZr3Cl
_cell_length_a 4.8422
_cell_length_b 4.8422
_cell_length_c 4.8422
_cell_angle_alpha 90.00
_cell_angle_beta 90.00
_cell_angle_gamma 90.00
_symmetry_space_group_name_H-M 'P m -3 m'
_symmetry_Int_Tables_number 221
_symmetry_space_group_name_Hall '-P 4 2 3'
loop_
_atom_site_label
_atom_site_type_symbol
_atom_site_fract_x
_atom_site_fract_y
_atom_site_fract_z
Mg1 Mg 0.0000 0.0000 0.0000
Zr1 Zr 0.0000 0.5000 0.5000
Cl1 Cl 0.5000 0.5000 0.5000
# * ΔE_f (raw): -0.0461 eV per atom
# * energy above the lowest structure with this stoichiometry: 0.0 meV/atom
# * DOS at the Fermi energy: 3.35 states/eV per cell

=====

Record 2
# GGA-PBE MgZrCl2, relaxed
data_MgZrCl2
_cell_length_a 3.1887
_cell_length_b 6.1234
_cell_length_c 10.0553
_cell_angle_alpha 90.00
_cell_angle_beta 90.00
_cell_angle_gamma 90.00
_symmetry_space_group_name_H-M 'C m m m'
_symmetry_Int_Tables_number 65
_symmetry_space_group_name_Hall '-C 2 2'
loop_
_atom_site_label
_atom_site_type_symbol
_atom_site_fract_x
_atom_site_fract_y
_atom_site_fract_z
Mg1 Mg 0.0000 0.0000 0.0000
Zr1 Zr 0.0000 0.0000 0.5000
Cl1 Cl 0.0000 0.5000 0.2965
# * ΔE_f (raw): -0.8432 eV per atom
# * energy above the lowest structure with this stoichiometry: 198.9 meV/atom
# * DOS at the Fermi energy: 3.89 states/eV per cell

=====

Record 3
# GGA-PBE MgZrCl2, relaxed
data_MgZrCl2
_cell_length_a 6.0307
_cell_length_b 6.0307
_cell_length_c 10.7620
_cell_angle_alpha 90.00
_cell_angle_beta 90.00
_cell_angle_gamma 90.00
_symmetry_space_group_name_H-M 'I -4 2 d'
_symmetry_Int_Tables_number 122
_symmetry_space_group_name_Hall 'I -4 2bw'
loop_
_atom_site_label
_atom_site_type_symbol
_atom_site_fract_x
_atom_site_fract_y
_atom_site_fract_z
Mg1 Mg 0.0000 0.0000 0.0000
Zr1 Zr 0.0000 0.0000 0.5000
Cl1 Cl 0.2181 0.2500 0.1250
# * ΔE_f (raw): -0.2769 eV per atom
# * energy above the lowest structure with this stoichiometry: 765.2 meV/atom
# * DOS at the Fermi energy: 14.62 states/eV per cell

=====

Record 4
# GGA-PBE MgZrCl2, relaxed
data_MgZrCl2
_cell_length_a 5.1148
_cell_length_b 3.4105
_cell_length_c 9.6544
_cell_angle_alpha 90.00
_cell_angle_beta 90.00
_cell_angle_gamma 90.00
_symmetry_space_group_name_H-M 'A m m 2'
_symmetry_Int_Tables_number 38
_symmetry_space_group_name_Hall 'A 2 -2'
loop_
_atom_site_label
_atom_site_type_symbol
_atom_site_fract_x
_atom_site_fract_y
_atom_site_fract_z
Mg1 Mg 0.0000 0.0000 0.0000
Zr1 Zr 0.5000 0.0000 0.6227
Cl1 Cl 0.0000 0.0000 0.7276
Cl2 Cl 0.5000 0.0000 0.3320
# * ΔE_f (raw): -0.7899 eV per atom
# * energy above the lowest structure with this stoichiometry: 252.1 meV/atom
# * DOS at the Fermi energy: 3.67 states/eV per cell

=====

Record 5
# GGA-PBE MgZrCl, relaxed
data_MgZrCl
_cell_length_a 3.1772
_cell_length_b 3.1772
_cell_length_c 14.7329
_cell_angle_alpha 90.00
_cell_angle_beta 90.00
_cell_angle_gamma 90.00
_symmetry_space_group_name_H-M 'I 4 m m'
_symmetry_Int_Tables_number 107
_symmetry_space_group_name_Hall 'I 4 -2'
loop_
_atom_site_label
_atom_site_type_symbol
_atom_site_fract_x
_atom_site_fract_y
_atom_site_fract_z
Mg1 Mg 0.0000 0.0000 0.0000
Zr1 Zr 0.0000 0.0000 0.3522
Cl1 Cl 0.0000 0.0000 0.7413
# * ΔE_f (raw): -0.5154 eV per atom
# * energy above the lowest structure with this stoichiometry: 141.1 meV/atom
# * DOS at the Fermi energy: 3.87 states/eV per cell

=====

Record 6
# GGA-PBE MgZrCl4, relaxed
data_MgZrCl4
_cell_length_a 8.1909
_cell_length_b 8.1909
_cell_length_c 8.1909
_cell_angle_alpha 90.00
_cell_angle_beta 90.00
_cell_angle_gamma 90.00
_symmetry_space_group_name_H-M 'F -4 3 m'
_symmetry_Int_Tables_number 216
_symmetry_space_group_name_Hall 'F -4 2 3'
loop_
_atom_site_label
_atom_site_type_symbol
_atom_site_fract_x
_atom_site_fract_y
_atom_site_fract_z
Mg1 Mg 0.0000 0.0000 0.0000
Zr1 Zr 0.2500 0.2500 0.7500
Cl1 Cl 0.1246 0.1246 0.3754
# * ΔE_f (raw): 0.2339 eV per atom
# * DOS at the Fermi energy: 34.95 states/eV per cell

=====

Record 7
# GGA-PBE Mg2ZrCl, relaxed
data_Mg2ZrCl
_cell_length_a 3.9694
_cell_length_b 3.9694
_cell_length_c 10.7407
_cell_angle_alpha 90.00
_cell_angle_beta 90.00
_cell_angle_gamma 90.00
_symmetry_space_group_name_H-M 'I 4/m m m'
_symmetry_Int_Tables_number 139
_symmetry_space_group_name_Hall '-I 4 2'
loop_
_atom_site_label
_atom_site_type_symbol
_atom_site_fract_x
_atom_site_fract_y
_atom_site_fract_z
Mg1 Mg 0.0000 0.5000 0.2500
Zr1 Zr 0.0000 0.0000 0.0000
Cl1 Cl 0.0000 0.0000 0.5000
# * ΔE_f (raw): -0.0017 eV per atom
# * energy above the lowest structure with this stoichiometry: 459.8 meV/atom
# * DOS at the Fermi energy: 8.04 states/eV per cell

=====

Record 8
# GGA-PBE Mg4ZrCl, relaxed
data_Mg4ZrCl
_cell_length_a 8.3197
_cell_length_b 8.3197
_cell_length_c 8.3197
_cell_angle_alpha 90.00
_cell_angle_beta 90.00
_cell_angle_gamma 90.00
_symmetry_space_group_name_H-M 'F -4 3 m'
_symmetry_Int_Tables_number 216
_symmetry_space_group_name_Hall 'F -4 2 3'
loop_
_atom_site_label
_atom_site_type_symbol
_atom_site_fract_x
_atom_site_fract_y
_atom_site_fract_z
Mg1 Mg 0.1232 0.1232 0.1232
Zr1 Zr 0.2500 0.2500 0.7500
Cl1 Cl 0.0000 0.0000 0.5000
# * ΔE_f (raw): 0.1964 eV per atom
# * DOS at the Fermi energy: 21.99 states/eV per cell

=====

Record 9
# GGA-PBE Mg2ZrCl, relaxed
data_Mg2ZrCl
_cell_length_a 4.3452
_cell_length_b 4.3452
_cell_length_c 9.2393
_cell_angle_alpha 90.00
_cell_angle_beta 90.00
_cell_angle_gamma 90.00
_symmetry_space_group_name_H-M 'I -4 m 2'
_symmetry_Int_Tables_number 119
_symmetry_space_group_name_Hall 'I -4 -2'
loop_
_atom_site_label
_atom_site_type_symbol
_atom_site_fract_x
_atom_site_fract_y
_atom_site_fract_z
Mg1 Mg 0.0000 0.0000 0.0000
Mg2 Mg 0.0000 0.5000 0.2500
Zr1 Zr 0.0000 0.5000 0.7500
Cl1 Cl 0.0000 0.0000 0.5000
# * ΔE_f (raw): 0.0309 eV per atom
# * energy above the lowest structure with this stoichiometry: 492.4 meV/atom
# * DOS at the Fermi energy: 5.17 states/eV per cell

=====

Record 10
# GGA-PBE MgZrCl2, relaxed
data_MgZrCl2
_cell_length_a 6.7372
_cell_length_b 6.7372
_cell_length_c 6.7372
_cell_angle_alpha 90.00
_cell_angle_beta 90.00
_cell_angle_gamma 90.00
_symmetry_space_group_name_H-M 'F m -3 m'
_symmetry_Int_Tables_number 225
_symmetry_space_group_name_Hall '-F 4 2 3'
loop_
_atom_site_label
_atom_site_type_symbol
_atom_site_fract_x
_atom_site_fract_y
_atom_site_fract_z
Mg1 Mg 0.0000 0.0000 0.0000
Zr1 Zr 0.0000 0.0000 0.5000
Cl1 Cl 0.2500 0.2500 0.2500
# * ΔE_f (raw): -0.3902 eV per atom
# * energy above the lowest structure with this stoichiometry: 651.8 meV/atom
# * DOS at the Fermi energy: 11.99 states/eV per cell

=====

Record 11
# GGA-PBE Mg2ZrCl, relaxed
data_Mg2ZrCl
_cell_length_a 5.2688
_cell_length_b 5.2688
_cell_length_c 3.3530
_cell_angle_alpha 90.00
_cell_angle_beta 90.00
_cell_angle_gamma 90.00
_symmetry_space_group_name_H-M 'P 4/m m m'
_symmetry_Int_Tables_number 123
_symmetry_space_group_name_Hall '-P 4 2'
loop_
_atom_site_label
_atom_site_type_symbol
_atom_site_fract_x
_atom_site_fract_y
_atom_site_fract_z
Mg1 Mg 0.0000 0.5000 0.0000
Zr1 Zr 0.0000 0.0000 0.5000
Cl1 Cl 0.5000 0.5000 0.5000
# * ΔE_f (raw): -0.0506 eV per atom
# * energy above the lowest structure with this stoichiometry: 410.9 meV/atom
# * DOS at the Fermi energy: 2.68 states/eV per cell

=====

Record 12
# GGA-PBE MgZrCl2, relaxed
data_MgZrCl2
_cell_length_a 3.2787
_cell_length_b 3.2787
_cell_length_c 8.7227
_cell_angle_alpha 90.00
_cell_angle_beta 90.00
_cell_angle_gamma 90.00
_symmetry_space_group_name_H-M 'P 4 m m'
_symmetry_Int_Tables_number 99
_symmetry_space_group_name_Hall 'P 4 -2'
loop_
_atom_site_label
_atom_site_type_symbol
_atom_site_fract_x
_atom_site_fract_y
_atom_site_fract_z
Mg1 Mg 0.0000 0.0000 0.0000
Zr1 Zr 0.5000 0.5000 0.2542
Cl1 Cl 0.0000 0.0000 0.4293
Cl2 Cl 0.5000 0.5000 0.8483
# * ΔE_f (raw): -0.9802 eV per atom
# * energy above the lowest structure with this stoichiometry: 61.9 meV/atom
# * DOS at the Fermi energy: 1.90 states/eV per cell